Here is PmPuMg2N4 after structural relaxation from Alexandria via LeMat-Bulk. Energies are from PBE-GGA.

Summary:
* space group: P2/m, No. 10
* V: 107.2 Å³ per cell
* formation energy from raw total energies: -22.36 kcal/mol of atoms
* total energy: -7.92 eV per atom

Structure (POSCAR):
```
PmPuMg2N4
1.0
-2.1189 -2.6860 0.1943
3.9327 -3.2684 -2.2953
3.4701 -2.4330 4.2091
Mg Pm N Pu
2 1 4 1
Direct
0.0000 0.0000 0.0000
0.5000 0.0000 0.5000
0.0000 0.5000 0.5000
0.0000 0.2466 0.2411
0.0000 0.7534 0.7589
0.5000 0.7353 0.2157
0.5000 0.2647 0.7843
0.5000 0.5000 0.0000
```